1.
A geometry-optimized SrVAgRu2 structure. Source: Alexandria, functional PBE.

Cell lengths 4.9832, 5.3127, 4.9832 Å; angles 90.00, 90.00, 90.00 degrees
Each line ends with the local moment (μB).
Positions (direct):
Ag1 0.0000 0.0000 0.0000  -0.09
Sr1 0.0000 0.5000 0.0000  0.09
Ru1 0.5000 0.0000 0.0000  -1.41
Ru2 0.0000 0.0000 0.5000  -2.14
V1 0.5000 0.5000 0.5000  2.98

Calculated values
Density of states at the Fermi level (states/eV per cell): 8.53
SG: P4/mmm, No. 123
Calculated volume (A^3/atom): 26.38
ΔE_f (eV per atom): 1.814

***

2.
A geometry-optimized TaAg2Ru structure. Source: Alexandria, functional PBE.

Cell lengths 2.7598, 2.7598, 8.8111 Å; angles 90.00, 90.00, 90.00 degrees
Each line ends with the local moment (μB).
Positions (direct):
Ag1 0.0000 0.0000 0.4935  0.00
Ru1 0.5000 0.5000 0.2500  1.21
Ag2 0.0000 0.0000 0.0065  0.00
Ta1 0.5000 0.5000 0.7500  -0.05

Calculated values
Density of states at the Fermi level (states/eV per cell): 3.62
SG: P4/mmm, No. 123
Calculated volume (A^3/atom): 16.78
ΔE_f (eV per atom): 0.515

***

3.
A geometry-optimized TaAg2Ru structure. Source: Alexandria, functional PBE.

Cell lengths 9.9415, 9.9415, 9.9415 Å; angles 16.25, 16.25, 16.25 degrees
Each line ends with the local moment (μB).
Positions (direct):
Ag1 0.9975 0.9975 0.9975  0.00
Ta1 0.7500 0.7500 0.7500  -0.03
Ru1 0.2500 0.2500 0.2500  0.38
Ag2 0.5025 0.5025 0.5025  0.00

Calculated values
Density of states at the Fermi level (states/eV per cell): 3.69
SG: R-3m, No. 166
Calculated volume (A^3/atom): 16.77
ΔE_f (eV per atom): 0.455

***

4.
A geometry-optimized TaAgRu4 structure. Source: Alexandria, functional PBE.

Cell lengths 5.1108, 5.1108, 5.1108 Å; angles 60.00, 60.00, 60.00 degrees
Positions (direct):
Ru1 0.8754 0.3749 0.3749
Ru2 0.3749 0.8754 0.3749
Ru3 0.3749 0.3749 0.3749
Ta1 0.7500 0.7500 0.7500
Ru4 0.3749 0.3749 0.8754
Ag1 0.0000 0.0000 0.0000

Calculated values
Density of states at the Fermi level (states/eV per cell): 8.93
SG: F-43m, No. 216
Calculated volume (A^3/atom): 15.73
ΔE_f (eV per atom): 0.264

***

5.
A geometry-optimized TaAg3Ru structure. Source: Alexandria, functional PBE.

Cell lengths 4.8529, 4.8529, 4.8529 Å; angles 90.00, 90.00, 90.00 degrees
Positions (direct):
Ta1 0.5000 0.5000 0.5000
Ag1 0.0000 0.0000 0.5000
Ag2 0.0000 0.5000 0.0000
Ru1 0.0000 0.0000 0.0000
Ag3 0.5000 0.0000 0.0000

Calculated values
Density of states at the Fermi level (states/eV per cell): 10.51
SG: Pm-3m, No. 221
Calculated volume (A^3/atom): 22.86
ΔE_f (eV per atom): 1.997

***

6.
A geometry-optimized TaAg2Ru structure. Source: Alexandria, functional PBE.

Cell lengths 5.2103, 5.2103, 2.8163 Å; angles 90.00, 90.00, 119.14 degrees
Each line ends with the local moment (μB).
Positions (direct):
Ag1 0.5000 0.5000 0.0000  0.01
Ta1 0.0000 0.5000 0.5000  -0.01
Ru1 0.5000 0.0000 0.5000  0.42
Ag2 0.0000 0.0000 0.0000  0.01

Calculated values
Density of states at the Fermi level (states/eV per cell): 3.84
SG: Cmmm, No. 65
Calculated volume (A^3/atom): 16.69
ΔE_f (eV per atom): 0.400

***

| no. | M_tot (μB/f.u.) |
| --- | --- |
| 1 | 0.29 |
| 2 | 1.16 |
| 3 | 0.34 |
| 4 | 0.00 |
| 5 | 0.00 |
| 6 | 0.42 |